Compound: La2Dy3Ho4
Source: Alexandria
Functional: GGA-PBE
Structure: relaxed

abc: 10.0872 8.5169 6.9243
angles: 80.86 56.47 42.67
Last column: nearest neighbours and their distance in Å.
Positions (direct):
La: 0.1147 0.1147 0.8853  6 Dy 3.56-3.91, 6 Ho 3.61-3.73, 1 La 3.65
La: 0.8853 0.8853 0.1147  6 Dy 3.56-3.91, 6 Ho 3.61-3.73, 1 La 3.65
Dy: 0.0000 0.0000 0.5000  2 Dy 3.06
Dy: 0.5000 0.5000 0.0000  2 Dy 3.06
Dy: 0.5000 0.5000 0.5000  4 Dy 3.46, 4 Ho 3.48, 4 La 3.56
Ho: 0.1682 0.4558 0.5442  4 Ho 3.29-3.64, 3 Dy 3.48-3.61, 1 La 3.61
Ho: 0.4558 0.1682 0.8318  4 Ho 3.29-3.64, 3 Dy 3.48-3.61, 1 La 3.61
Ho: 0.5442 0.8318 0.1682  4 Ho 3.29-3.64, 3 Dy 3.48-3.61, 1 La 3.61
Ho: 0.8318 0.5442 0.4558  4 Ho 3.29-3.64, 3 Dy 3.48-3.61, 1 La 3.61

Results
- Electronic total energy: -4.48 eV/atom
- ρ: 7.831 Mg/m³
- Formation energy from the elements: 0.1826 eV/atom